Entry 1:
First-principles (GGA-PBE) data for TbPr4Dy2Ho2 after structural relaxation, as listed in Alexandria via LeMat-Bulk.

```
TbPr4Dy2Ho2
1.0
7.685 -2.556 0.000
7.685 2.556 0.000
-2.552 0.000 7.662
Tb Pr Dy Ho
1 4 2 2
direct
0.000 0.000 0.000
0.223 0.223 0.331
0.446 0.446 0.669
0.554 0.554 0.331
0.777 0.777 0.669
0.111 0.111 0.670
0.889 0.889 0.330
0.332 0.332 0.000
0.668 0.668 0.000
```

Values from the calculation:
The energy of formation from the pure elements is 0.021 eV/atom. The total magnetization is 0.000 μB/atom.



Entry 2:
First-principles (GGA-PBE) data for AsPtRh after structural relaxation, as listed in Alexandria via LeMat-Bulk.

```
AsPtRh
1.0
6.917 0.000 0.000
0.000 4.786 0.000
-0.311 0.000 5.743
As Pt Rh
4 4 4
direct
0.209 0.038 0.387
0.209 0.462 0.887
0.791 0.538 0.113
0.791 0.962 0.613
0.449 0.734 0.620
0.449 0.766 0.120
0.551 0.234 0.880
0.551 0.266 0.380
0.120 0.528 0.302
0.120 0.972 0.802
0.880 0.028 0.198
0.880 0.472 0.698
```

Values from the calculation:
The energy of formation from the pure elements is -0.284 eV/atom. The total magnetization is 0.000 μB/atom.



Entry 3:
First-principles (GGA-PBE) data for Pr2CdNi2 after structural relaxation, as listed in Alexandria via LeMat-Bulk.

```
Pr2CdNi2
1.0
2.007 -7.237 0.000
2.007 7.237 0.000
0.000 0.000 3.910
Pr Cd Ni
2 1 2
direct
0.136 0.864 0.000
0.864 0.136 0.000
0.500 0.500 0.500
0.298 0.702 0.500
0.702 0.298 0.500
```

Values from the calculation:
The energy of formation from the pure elements is -0.353 eV/atom. The total magnetization is 0.000 μB/atom.



Entry 4:
First-principles (GGA-PBE) data for Ba2NaSiIr after structural relaxation, as listed in Alexandria via LeMat-Bulk.

```
Ba2NaSiIr
1.0
6.267 0.000 0.000
0.000 6.267 0.000
0.000 0.000 4.641
Ba Na Si Ir
2 1 1 1
direct
0.000 0.500 0.000
0.500 0.000 0.000
0.000 0.000 0.500
0.500 0.500 0.500
0.500 0.500 0.000
```

Values from the calculation:
The calculation puts the formation energy (no corrections) at -0.231 eV/atom. The total magnetization is 0.000 μB/atom.



Entry 5:
First-principles (GGA-PBE) data for RbSrCd2F8 after structural relaxation, as listed in Alexandria via LeMat-Bulk.

```
RbSrCd2F8
1.0
-2.971 2.971 5.468
2.971 -2.971 5.468
2.971 2.971 -5.468
Rb Sr Cd F
1 1 2 8
direct
0.000 0.000 0.000
0.250 0.750 0.500
0.500 0.500 0.000
0.750 0.250 0.500
0.134 0.150 0.547
0.134 0.587 0.984
0.413 0.397 0.547
0.413 0.866 0.016
0.603 0.150 0.016
0.603 0.587 0.453
0.850 0.397 0.984
0.850 0.866 0.453
```

Values from the calculation:
The calculation puts the formation energy (no corrections) at -2.479 eV/atom. The total magnetization is 0.096 μB/atom.



Entry 6:
First-principles (GGA-PBE) data for DyEr2Ir3 after structural relaxation, as listed in Alexandria via LeMat-Bulk.

```
DyEr2Ir3
1.0
4.819 0.000 0.000
-2.410 4.174 0.000
0.000 0.000 5.900
Dy Er Ir
1 2 3
direct
0.000 0.000 0.000
0.333 0.667 0.666
0.667 0.333 0.334
0.000 0.000 0.500
0.333 0.667 0.168
0.667 0.333 0.832
```

Values from the calculation:
The energy of formation from the pure elements is -0.860 eV/atom. The total magnetization is 0.000 μB/atom.



Entry 7:
First-principles (GGA-PBE) data for CuP2W2 after structural relaxation, as listed in Alexandria via LeMat-Bulk.

```
CuP2W2
1.0
6.813 0.000 0.000
0.000 6.813 0.000
0.000 0.000 3.023
Cu P W
2 4 4
direct
0.000 0.000 0.000
0.500 0.500 0.000
0.147 0.353 0.000
0.353 0.853 0.000
0.647 0.147 0.000
0.853 0.647 0.000
0.149 0.649 0.500
0.351 0.149 0.500
0.649 0.851 0.500
0.851 0.351 0.500
```

Values from the calculation:
The energy of formation from the pure elements is 0.061 eV/atom. The total magnetization is 0.000 μB/atom.



Entry 8:
First-principles (GGA-PBE) data for LiUCr2S6 after structural relaxation, as listed in Alexandria via LeMat-Bulk.

```
LiUCr2S6
1.0
3.136 1.811 5.655
-3.136 1.811 5.655
0.000 -3.621 5.655
Li U Cr S
1 1 2 6
direct
0.000 0.000 0.000
0.495 0.495 0.495
0.304 0.304 0.304
0.807 0.807 0.807
0.067 0.692 0.425
0.186 0.573 0.930
0.425 0.067 0.692
0.573 0.930 0.186
0.692 0.425 0.067
0.930 0.186 0.573
```

Values from the calculation:
The calculation puts the formation energy (no corrections) at -0.927 eV/atom. The total magnetization is 0.700 μB/atom.